[1]
An optimized crystal structure of Dy2ScHg. Source: Alexandria via LeMat-Bulk, functional PBE.

Results
* spin magnetization: 0.63 μB per formula unit
* ΔE_f: -0.080 eV/atom
* excess energy over the best structure of this formula in the dataset: 12.17 kJ per mole of atoms
* DOS at the Fermi energy: 5.6 states/eV per cell
* uncorrected energy: -16.2 eV per cell

Unit cell a=5.305 b=5.305 c=5.305 alpha=60.00 beta=60.00 gamma=60.00
Each line ends with the local moment (μB).
Atoms (fractional coordinates):
Hg1 0.500 0.500 0.500  -0.01
Dy1 0.250 0.250 0.250  0.12
Dy2 0.750 0.750 0.750  0.12
Sc1 0.000 0.000 0.000  0.23

***

[2]
An optimized crystal structure of Nd3Ga6Cu5. Source: Alexandria via LeMat-Bulk, functional PBE.

Results
* spin magnetization: 0.00 μB per formula unit
* ΔE_f: -0.412 eV/atom
* DOS at the Fermi energy: 18.5 states/eV per cell
* uncorrected energy: -117.4 eV per cell

Unit cell a=4.389 b=8.744 c=13.270 alpha=90.00 beta=90.00 gamma=90.00
Atoms (fractional coordinates):
Cu1 0.000 0.759 0.000
Cu2 0.500 0.110 0.846
Cu3 0.500 0.464 0.633
Cu4 0.000 0.890 0.654
Cu5 0.000 0.890 0.346
Cu6 0.500 0.110 0.154
Cu7 0.000 0.536 0.133
Cu8 0.000 0.536 0.867
Cu9 0.500 0.241 0.500
Cu10 0.500 0.464 0.367
Ga1 0.500 0.940 0.000
Ga2 0.000 0.969 0.146
Ga3 0.000 0.969 0.854
Ga4 0.000 0.060 0.500
Ga5 0.500 0.577 0.000
Ga6 0.000 0.423 0.500
Ga7 0.500 0.031 0.646
Ga8 0.000 0.608 0.657
Ga9 0.500 0.392 0.843
Ga10 0.000 0.608 0.343
Ga11 0.500 0.392 0.157
Ga12 0.500 0.031 0.354
Nd1 0.000 0.253 0.708
Nd2 0.000 0.255 0.000
Nd3 0.500 0.747 0.208
Nd4 0.000 0.253 0.292
Nd5 0.500 0.745 0.500
Nd6 0.500 0.747 0.792

***

[3]
An optimized crystal structure of Ca2As7Pd12. Source: Alexandria via LeMat-Bulk, functional PBE.

Results
* spin magnetization: 0.00 μB per formula unit
* ΔE_f: -0.572 eV/atom
* DOS at the Fermi energy: 10.9 states/eV per cell
* uncorrected energy: -110.9 eV per cell

Unit cell a=4.097 b=10.152 c=10.152 alpha=120.00 beta=90.00 gamma=90.00
Atoms (fractional coordinates):
Pd1 0.231 0.746 0.856
Pd2 0.231 0.110 0.254
Pd3 0.252 0.942 0.563
Pd4 0.748 0.379 0.942
Pd5 0.769 0.890 0.746
Pd6 0.231 0.144 0.890
Pd7 0.769 0.856 0.110
Pd8 0.252 0.621 0.058
Pd9 0.748 0.058 0.437
Pd10 0.252 0.437 0.379
Pd11 0.769 0.254 0.144
Pd12 0.748 0.563 0.621
As1 0.500 0.000 0.000
As2 0.746 0.293 0.411
As3 0.254 0.707 0.589
As4 0.254 0.411 0.118
As5 0.746 0.589 0.882
As6 0.746 0.118 0.707
As7 0.254 0.882 0.293
Ca1 0.754 0.667 0.333
Ca2 0.246 0.333 0.667

***

[4]
An optimized crystal structure of RuW2C. Source: Alexandria via LeMat-Bulk, functional PBE.

Results
* spin magnetization: 0.00 μB per formula unit
* ΔE_f: 0.074 eV/atom
* excess energy over the best structure of this formula in the dataset: 0.00 kJ per mole of atoms
* DOS at the Fermi energy: 2.8 states/eV per cell
* uncorrected energy: -44.1 eV per cell

Unit cell a=2.983 b=2.983 c=7.028 alpha=77.75 beta=77.75 gamma=60.00
Atoms (fractional coordinates):
Ru1 0.498 0.498 0.505
W1 0.274 0.274 0.179
W2 0.062 0.062 0.815
C1 0.666 0.666 0.001

***

Look up the spin magnetization of the second one.
0.00 μB per formula unit